Here is SiSeBr2 after structural relaxation from the Alexandria database. Energies are from PBE.

Cell: 3.2847 3.2837 11.5343 Å, 90.00 90.00 90.00°
Fractional positions:
Se (0.5000, 0.5000, 0.2500)
Br (0.0000, 0.0000, 0.8977)
Br (0.0000, 0.0000, 0.6023)
Si (0.5000, 0.5000, 0.7500)

- magnetic moment (μB per atom) = 0.000
- uncorrected formation energy (eV per atom) = 0.395